Entry from Alexandria via LeMat-Bulk: crystalline Sm8Co2Ge at its relaxed geometry (PBE).

The space group is Cm (No. 8) and the conventional cell measures 8.3257, 12.5917 and 6.2173 Å, with angles of 90.00, 107.73 and 90.00 degrees. The inequivalent atoms are Sm at (0.0000, 0.0000, 0.0000), Sm at (0.0683, 0.3657, 0.7862), Sm at (0.1500, 0.1359, 0.5800), Sm at (0.2333, 0.5000, 0.3946), Sm at (0.3589, 0.2206, 0.1871), Co at (0.3581, 0.3101, 0.6958) and Ge at (0.3643, 0.0000, 0.3717).

The calculation puts the calculated volume at 310.42 Å³/f.u. The uncorrected energy is -5.251 eV per atom. The value obtained for the energy of formation from the pure elements is -107 meV/atom. As for the total magnetization: 0.00 μB/f.u.

Entry from Alexandria via LeMat-Bulk: crystalline Tb2Ge2O7 at its relaxed geometry (PBE).

The space group is Fd-3m (No. 227, origin choice 2) and the conventional cell measures 10.0562, 10.0562 and 10.0562 Å, with angles of 90.00, 90.00 and 90.00 degrees. The inequivalent atoms are Tb at (0.0000, 0.0000, 0.0000), Ge at (0.0000, 0.0000, 0.5000), O at (0.0775, 0.3750, 0.8750) and O at (0.1250, 0.1250, 0.1250).

As for the uncorrected formation energy: -2.59 eV/atom. The calculation puts the calculated volume at 127.12 Å³/f.u. The uncorrected energy is -7.430 eV per atom. As for the total magnetization: 0.00 μB/f.u.